# PBE with a Hubbard U ErUCrO6, relaxed
data_ErUCrO6
_chemical_formula_sum 'Er2 U2 Cr2 O12'
_cell_length_a 5.3631
_cell_length_b 5.3631
_cell_length_c 9.6641
_cell_angle_alpha 90.00
_cell_angle_beta 90.00
_cell_angle_gamma 120.00
_symmetry_space_group_name_H-M 'P -3 1 c'
_symmetry_Int_Tables_number 163
_symmetry_space_group_name_Hall '-P 3 2c'
loop_
_atom_site_label
_atom_site_type_symbol
_atom_site_fract_x
_atom_site_fract_y
_atom_site_fract_z
_atom_site_occupancy
Er1 Er 0.0000 0.0000 0.0000 1
U1 U 0.3333 0.6667 0.2500 1
Cr1 Cr 0.3333 0.6667 0.7500 1
O1 O 0.0091 0.3529 0.6369 1
# Uncorrected energy   -8.842 eV per atom